[1]
## Er3ZnPt (GGA-PBE)

Data for a relaxed Er3ZnPt crystal.

POSCAR file:
```
Er3ZnPt
1.0
4.7988 0.0000 1.0966
0.0000 4.9127 0.0000
0.2490 0.0000 9.9584
Er Pt Zn
6 2 2
direct
0.0745 0.7500 0.4994
0.5739 0.2500 0.5006
0.2562 0.7500 0.1359
0.3921 0.2500 0.8641
0.8941 0.7500 0.8602
0.7543 0.2500 0.1398
0.9866 0.2500 0.6751
0.6618 0.7500 0.3249
0.4811 0.7500 0.6861
0.1672 0.2500 0.3139
```

Output
excess energy over the best structure of this formula in the dataset = 0.000 eV per atom
crystal system = orthorhombic
energy of formation = -0.650 eV per atom
space group = Cmcm (63)

=====

[2]
## Pr2CdSi3Au4 (GGA-PBE)

Data for a relaxed Pr2CdSi3Au4 crystal.

POSCAR file:
```
Pr2CdSi3Au4
1.0
4.3600 0.0000 0.0000
0.0000 4.3600 0.0000
0.0000 0.0000 10.8688
Au Si Pr Cd
4 3 2 1
direct
0.0000 0.0000 0.0000
0.5000 0.0000 0.6488
0.0000 0.5000 0.3512
0.5000 0.5000 0.0000
0.5000 0.0000 0.8712
0.0000 0.5000 0.1288
0.0000 0.0000 0.5000
0.0000 0.5000 0.7654
0.5000 0.0000 0.2346
0.5000 0.5000 0.5000
```

Output
crystal system = tetragonal
formation energy without anion corrections = -0.556 eV per atom
space group = P-4m2 (115)

=====

[3]
## Nd6DyHo2Th (GGA-PBE)

Data for a relaxed Nd6DyHo2Th crystal.

POSCAR file:
```
Nd6DyHo2Th
1.0
9.2223 -2.1732 -2.2553
0.8944 8.6201 -1.9104
0.8944 -2.2285 8.5434
Nd Dy Th Ho
12 2 2 4
direct
0.8816 0.2979 0.5133
0.4422 0.2399 0.8905
0.9422 0.8905 0.2399
0.1184 0.7021 0.4867
0.5578 0.7601 0.1095
0.8123 0.4260 0.9904
0.6877 0.0096 0.5740
0.6184 0.4867 0.7021
0.3816 0.5133 0.2979
0.0578 0.1095 0.7601
0.1877 0.5740 0.0096
0.3123 0.9904 0.4260
0.7500 0.5919 0.4081
0.2500 0.4081 0.5919
0.7500 0.0298 0.9702
0.2500 0.9702 0.0298
0.9489 0.7093 0.8000
0.4489 0.8000 0.7093
0.5511 0.2000 0.2907
0.0511 0.2907 0.2000
```

Output
crystal system = monoclinic
energy of formation = 0.143 eV per atom
space group = C2/c (15)

=====

[4]
## Sr5Ag2Sn (GGA-PBE)

Data for a relaxed Sr5Ag2Sn crystal.

POSCAR file:
```
Sr5Ag2Sn
1.0
7.7534 0.0000 -3.6600
-1.7277 7.5585 -3.6600
-0.0242 -0.0304 9.9911
Sr Ag Sn
10 4 2
direct
0.4708 0.3163 0.2871
0.8163 0.9708 0.2871
0.1837 0.0292 0.7129
0.0000 0.0000 0.0000
0.6837 0.1837 0.7129
0.5292 0.6837 0.7129
0.5000 0.5000 0.0000
0.0292 0.5292 0.7129
0.9708 0.4708 0.2871
0.3163 0.8163 0.2871
0.3809 0.8809 0.0000
0.6191 0.1191 0.0000
0.1191 0.3809 0.0000
0.8809 0.6191 0.0000
0.7500 0.7500 0.5000
0.2500 0.2500 0.5000
```

Output
crystal system = tetragonal
energy of formation = -0.382 eV per atom
space group = I4/mcm (140)

=====

[5]
## HfNbSn2 (GGA-PBE)

Data for a relaxed HfNbSn2 crystal.

POSCAR file:
```
HfNbSn2
1.0
2.8440 -3.9822 0.4322
-2.0444 -4.4556 0.3184
0.3928 -3.1560 -3.7442
Hf Sn Nb
1 2 1
direct
0.5000 0.5000 0.5000
0.7500 0.7500 0.7500
0.2500 0.2500 0.2500
0.0000 0.0000 0.0000
```

Output
excess energy over the best structure of this formula in the dataset = 0.046 eV per atom
crystal system = cubic
energy of formation = 0.006 eV per atom
space group = Fm-3m (225)

=====

[6]
## Sm2TmZn6 (GGA-PBE)

Data for a relaxed Sm2TmZn6 crystal.

POSCAR file:
```
Sm2TmZn6
1.0
-3.2125 -1.3206 -0.6216
2.9823 -7.2201 -0.0739
-2.5687 3.0967 6.6964
Sm Zn Tm
2 6 1
direct
0.0000 0.6667 0.3333
0.0000 0.3333 0.6667
0.5000 0.6701 0.6701
0.5000 0.6701 0.0000
0.5000 0.0000 0.6701
0.5000 0.3299 0.3299
0.5000 0.0000 0.3299
0.5000 0.3299 0.0000
0.0000 0.0000 0.0000
```

Output
crystal system = hexagonal
energy of formation = -0.363 eV per atom
space group = P6/mmm (191)

=====

[7]
## TaIn2Co2 (GGA-PBE)

Data for a relaxed TaIn2Co2 crystal.

POSCAR file:
```
TaIn2Co2
1.0
-1.4429 -2.6029 -5.6096
4.7186 -4.1867 0.7290
-2.5816 -2.5851 1.8635
Co Ta In
4 2 4
direct
0.3699 0.8699 0.0000
0.6301 0.1301 0.0000
0.1301 0.3699 0.0000
0.8699 0.6301 0.0000
0.5000 0.5000 0.0000
0.0000 0.0000 0.0000
0.1737 0.6737 0.5000
0.6737 0.8263 0.5000
0.3263 0.1737 0.5000
0.8263 0.3263 0.5000
```

Output
crystal system = tetragonal
energy of formation = 0.125 eV per atom
space group = P4/mbm (127)

=====

[8]
## Ta4Nb5W2 (GGA-PBE)

Data for a relaxed Ta4Nb5W2 crystal.

POSCAR file:
```
Ta4Nb5W2
1.0
2.7035 0.0000 0.0000
0.0000 7.3638 0.0956
0.0000 -0.6542 10.0851
W Nb Ta
2 5 4
direct
0.0000 0.9491 0.3612
0.0000 0.0509 0.6388
0.0000 0.5000 0.0000
0.0000 0.5861 0.2813
0.0000 0.4139 0.7187
0.0000 0.2173 0.1797
0.0000 0.7827 0.8203
0.5000 0.3037 0.4517
0.5000 0.8543 0.0947
0.5000 0.1457 0.9053
0.5000 0.6963 0.5483
```

Output
excess energy over the best structure of this formula in the dataset = 0.280 eV per atom
crystal system = monoclinic
energy of formation = 0.251 eV per atom
space group = P2/m (10)

=====

[9]
## Ce2Ga2Ge3 (GGA-PBE)

Data for a relaxed Ce2Ga2Ge3 crystal.

POSCAR file:
```
Ce2Ga2Ge3
1.0
4.5955 0.0000 0.0000
0.0000 3.8446 0.0000
-2.2977 -1.9223 9.2505
Ga Ce Ge
2 2 3
direct
0.5658 0.5658 0.1316
0.4342 0.4342 0.8684
0.1726 0.6726 0.3453
0.8274 0.3274 0.6547
0.6674 0.1674 0.3347
0.0000 0.0000 0.0000
0.3326 0.8326 0.6653
```

Output
crystal system = orthorhombic
energy of formation = -0.279 eV per atom
space group = Immm (71)

=====

[10]
## MgMnAs (GGA-PBE)

Data for a relaxed MgMnAs crystal.

POSCAR file:
```
MgMnAs
1.0
-0.0072 2.6366 4.4349
-2.6451 3.3189 2.9344
-1.6121 -1.6628 2.0766
Mg Mn As
1 1 1
direct
0.3303 0.3303 0.6697
0.6389 0.6389 0.3611
0.0308 0.0308 0.9692
```

Output
crystal system = tetragonal
energy of formation = -0.086 eV per atom
space group = I4mm (107)

=====

[11]
## KLaIr2 (GGA-PBE)

Data for a relaxed KLaIr2 crystal.

POSCAR file:
```
KLaIr2
1.0
-1.5924 -5.2034 0.2246
1.9417 -4.0501 3.0803
-3.8739 -2.0182 5.6092
K Ir La
1 2 1
direct
0.7500 0.7500 0.7500
0.9988 0.9988 0.1998
0.5012 0.5012 0.3002
0.2500 0.2500 0.2500
```

Output
excess energy over the best structure of this formula in the dataset = 0.235 eV per atom
crystal system = monoclinic
energy of formation = 0.077 eV per atom
space group = C2/m (12)

=====

[12]
## CdRuC3 (GGA-PBE)

Data for a relaxed CdRuC3 crystal.

POSCAR file:
```
CdRuC3
1.0
-0.5841 3.9550 -0.5922
-0.6934 0.4893 3.9514
3.9385 0.6727 0.6078
C Cd Ru
3 1 1
direct
0.0000 0.5000 0.0000
0.5000 0.0000 0.0000
0.0000 0.0000 0.5000
0.5000 0.5000 0.5000
0.0000 0.0000 0.0000
```

Output
excess energy over the best structure of this formula in the dataset = 0.000 eV per atom
crystal system = cubic
energy of formation = 2.022 eV per atom
space group = Pm-3m (221)

=====

Computed total energy, in the same sequence as the records: -4.8503 -4.5415 -4.8354 -2.6466 -7.0017 -2.7581 -6.1833 -10.9912 -4.8179 -5.2240 -5.8602 -5.5501 eV per atom.